Record 1
# NaInGa

A relaxed structure of NaInGa (PBE-GGA, Alexandria via LeMat-Bulk).

Values from the calculation:
As for the symmetry: Cmcm, No. 63.

Geometry as CIF:
```
data_NaInGa
_symmetry_space_group_name_H-M 'P 1'
_symmetry_Int_Tables_number 1
_symmetry_space_group_name_Hall 'P 1'
_cell_length_a 3.815
_cell_length_b 17.005
_cell_length_c 4.450
_cell_angle_alpha 90.00
_cell_angle_beta 90.00
_cell_angle_gamma 90.00
loop_
_atom_site_label
_atom_site_fract_x
_atom_site_fract_y
_atom_site_fract_z
_atom_site_occupancy
Na1 0.000 0.104 0.250 1
Na2 0.000 0.896 0.750 1
Na3 0.500 0.396 0.750 1
Na4 0.500 0.604 0.250 1
In1 0.000 0.292 0.250 1
In2 0.000 0.708 0.750 1
In3 0.500 0.208 0.750 1
In4 0.500 0.792 0.250 1
Ga1 0.000 0.462 0.250 1
Ga2 0.000 0.538 0.750 1
Ga3 0.500 0.038 0.750 1
Ga4 0.500 0.962 0.250 1
```



Record 2
# Na3In4Ga4

A relaxed structure of Na3In4Ga4 (PBE-GGA, Alexandria via LeMat-Bulk).

Values from the calculation:
As for the symmetry: Immm, No. 71.

Geometry as CIF:
```
data_Na3In4Ga4
_symmetry_space_group_name_H-M 'P 1'
_symmetry_Int_Tables_number 1
_symmetry_space_group_name_Hall 'P 1'
_cell_length_a 8.960
_cell_length_b 8.960
_cell_length_c 8.960
_cell_angle_alpha 148.37
_cell_angle_beta 132.01
_cell_angle_gamma 58.61
loop_
_atom_site_label
_atom_site_fract_x
_atom_site_fract_y
_atom_site_fract_z
_atom_site_occupancy
Na1 0.000 0.000 0.000 1
Na2 0.374 0.874 0.500 1
Na3 0.626 0.126 0.500 1
In1 0.221 0.221 0.000 1
In2 0.303 0.500 0.803 1
In3 0.697 0.500 0.197 1
In4 0.779 0.779 0.000 1
Ga1 0.019 0.334 0.685 1
Ga2 0.352 0.666 0.685 1
Ga3 0.648 0.334 0.315 1
Ga4 0.981 0.666 0.315 1
```



Record 3
# Na2In12Ga

A relaxed structure of Na2In12Ga (PBE-GGA, Alexandria via LeMat-Bulk).

Values from the calculation:
As for the symmetry: P4/nbm, No. 125.

Geometry as CIF:
```
data_Na2In12Ga
_symmetry_space_group_name_H-M 'P 1'
_symmetry_Int_Tables_number 1
_symmetry_space_group_name_Hall 'P 1'
_cell_length_a 6.770
_cell_length_b 6.770
_cell_length_c 18.799
_cell_angle_alpha 90.00
_cell_angle_beta 90.00
_cell_angle_gamma 90.00
loop_
_atom_site_label
_atom_site_fract_x
_atom_site_fract_y
_atom_site_fract_z
_atom_site_occupancy
Na1 0.250 0.750 0.238 1
Na2 0.250 0.750 0.762 1
Na3 0.750 0.250 0.238 1
Na4 0.750 0.250 0.762 1
In1 0.000 0.000 0.409 1
In2 0.000 0.000 0.591 1
In3 0.000 0.500 0.409 1
In4 0.000 0.500 0.591 1
In5 0.083 0.583 0.068 1
In6 0.083 0.917 0.932 1
In7 0.250 0.250 0.158 1
In8 0.250 0.250 0.310 1
In9 0.250 0.250 0.690 1
In10 0.250 0.250 0.842 1
In11 0.417 0.583 0.932 1
In12 0.417 0.917 0.068 1
In13 0.500 0.000 0.409 1
In14 0.500 0.000 0.591 1
In15 0.500 0.500 0.409 1
In16 0.500 0.500 0.591 1
In17 0.583 0.083 0.932 1
In18 0.583 0.417 0.068 1
In19 0.750 0.750 0.158 1
In20 0.750 0.750 0.310 1
In21 0.750 0.750 0.690 1
In22 0.750 0.750 0.842 1
In23 0.917 0.083 0.068 1
In24 0.917 0.417 0.932 1
Ga1 0.250 0.750 0.500 1
Ga2 0.750 0.250 0.500 1
```



Record 4
# NaInGa

A relaxed structure of NaInGa (PBE-GGA, Alexandria via LeMat-Bulk).

Values from the calculation:
As for the symmetry: C2/m, No. 12.

Geometry as CIF:
```
data_NaInGa
_symmetry_space_group_name_H-M 'P 1'
_symmetry_Int_Tables_number 1
_symmetry_space_group_name_Hall 'P 1'
_cell_length_a 10.978
_cell_length_b 4.644
_cell_length_c 7.559
_cell_angle_alpha 90.00
_cell_angle_beta 129.90
_cell_angle_gamma 90.00
loop_
_atom_site_label
_atom_site_fract_x
_atom_site_fract_y
_atom_site_fract_z
_atom_site_occupancy
Na1 0.067 0.000 0.319 1
Na2 0.433 0.500 0.681 1
Na3 0.567 0.500 0.319 1
Na4 0.933 0.000 0.681 1
In1 0.173 0.500 0.100 1
In2 0.327 0.000 0.900 1
In3 0.673 0.000 0.100 1
In4 0.827 0.500 0.900 1
Ga1 0.145 0.500 0.690 1
Ga2 0.355 0.000 0.310 1
Ga3 0.645 0.000 0.690 1
Ga4 0.855 0.500 0.310 1
```



Record 5
# NaInGa2

A relaxed structure of NaInGa2 (PBE-GGA, Alexandria via LeMat-Bulk).

Values from the calculation:
As for the symmetry: Pnma, No. 62.

Geometry as CIF:
```
data_NaInGa2
_symmetry_space_group_name_H-M 'P 1'
_symmetry_Int_Tables_number 1
_symmetry_space_group_name_Hall 'P 1'
_cell_length_a 6.885
_cell_length_b 4.852
_cell_length_c 11.056
_cell_angle_alpha 90.00
_cell_angle_beta 90.00
_cell_angle_gamma 90.00
loop_
_atom_site_label
_atom_site_fract_x
_atom_site_fract_y
_atom_site_fract_z
_atom_site_occupancy
Na1 0.249 0.250 0.167 1
Na2 0.251 0.750 0.667 1
Na3 0.749 0.250 0.333 1
Na4 0.751 0.750 0.833 1
In1 0.250 0.250 0.461 1
In2 0.250 0.750 0.961 1
In3 0.750 0.250 0.039 1
In4 0.750 0.750 0.539 1
Ga1 0.056 0.750 0.364 1
Ga2 0.057 0.250 0.864 1
Ga3 0.443 0.750 0.364 1
Ga4 0.444 0.250 0.864 1
Ga5 0.556 0.750 0.136 1
Ga6 0.557 0.250 0.636 1
Ga7 0.943 0.750 0.136 1
Ga8 0.944 0.250 0.636 1
```



Record 6
# Na3In3Ga2

A relaxed structure of Na3In3Ga2 (PBE-GGA, Alexandria via LeMat-Bulk).

Values from the calculation:
As for the symmetry: Cmcm, No. 63.

Geometry as CIF:
```
data_Na3In3Ga2
_symmetry_space_group_name_H-M 'P 1'
_symmetry_Int_Tables_number 1
_symmetry_space_group_name_Hall 'P 1'
_cell_length_a 6.207
_cell_length_b 6.207
_cell_length_c 15.569
_cell_angle_alpha 90.00
_cell_angle_beta 90.00
_cell_angle_gamma 135.46
loop_
_atom_site_label
_atom_site_fract_x
_atom_site_fract_y
_atom_site_fract_z
_atom_site_occupancy
Na1 0.072 0.928 0.612 1
Na2 0.072 0.928 0.888 1
Na3 0.357 0.643 0.750 1
Na4 0.643 0.357 0.250 1
Na5 0.928 0.072 0.112 1
Na6 0.928 0.072 0.388 1
In1 0.360 0.640 0.250 1
In2 0.376 0.624 0.536 1
In3 0.376 0.624 0.964 1
In4 0.624 0.376 0.036 1
In5 0.624 0.376 0.464 1
In6 0.640 0.360 0.750 1
Ga1 0.213 0.787 0.107 1
Ga2 0.213 0.787 0.393 1
Ga3 0.787 0.213 0.607 1
Ga4 0.787 0.213 0.893 1
```



Record 7
# Na3In7Ga2

A relaxed structure of Na3In7Ga2 (PBE-GGA, Alexandria via LeMat-Bulk).

Values from the calculation:
As for the symmetry: P2/m, No. 10.

Geometry as CIF:
```
data_Na3In7Ga2
_symmetry_space_group_name_H-M 'P 1'
_symmetry_Int_Tables_number 1
_symmetry_space_group_name_Hall 'P 1'
_cell_length_a 4.866
_cell_length_b 4.529
_cell_length_c 14.930
_cell_angle_alpha 90.00
_cell_angle_beta 97.02
_cell_angle_gamma 90.00
loop_
_atom_site_label
_atom_site_fract_x
_atom_site_fract_y
_atom_site_fract_z
_atom_site_occupancy
Na1 0.000 0.000 0.000 1
Na2 0.313 0.500 0.645 1
Na3 0.687 0.500 0.355 1
In1 0.086 0.500 0.156 1
In2 0.231 0.000 0.450 1
In3 0.405 0.000 0.840 1
In4 0.500 0.500 0.000 1
In5 0.595 0.000 0.160 1
In6 0.769 0.000 0.550 1
In7 0.914 0.500 0.844 1
Ga1 0.146 0.000 0.269 1
Ga2 0.854 0.000 0.731 1
```



Record 8
# Na3In4Ga

A relaxed structure of Na3In4Ga (PBE-GGA, Alexandria via LeMat-Bulk).

Values from the calculation:
As for the symmetry: Imm2, No. 44.

Geometry as CIF:
```
data_Na3In4Ga
_symmetry_space_group_name_H-M 'P 1'
_symmetry_Int_Tables_number 1
_symmetry_space_group_name_Hall 'P 1'
_cell_length_a 6.084
_cell_length_b 8.049
_cell_length_c 9.974
_cell_angle_alpha 90.00
_cell_angle_beta 90.00
_cell_angle_gamma 90.00
loop_
_atom_site_label
_atom_site_fract_x
_atom_site_fract_y
_atom_site_fract_z
_atom_site_occupancy
Na1 0.000 0.000 0.000 1
Na2 0.000 0.220 0.619 1
Na3 0.000 0.780 0.619 1
Na4 0.500 0.280 0.119 1
Na5 0.500 0.500 0.500 1
Na6 0.500 0.720 0.119 1
In1 0.000 0.315 0.301 1
In2 0.000 0.685 0.301 1
In3 0.243 0.500 0.830 1
In4 0.257 0.000 0.330 1
In5 0.500 0.185 0.801 1
In6 0.500 0.815 0.801 1
In7 0.743 0.000 0.330 1
In8 0.757 0.500 0.830 1
Ga1 0.000 0.500 0.068 1
Ga2 0.500 0.000 0.568 1
```



Record 9
# Na2In3Ga2

A relaxed structure of Na2In3Ga2 (PBE-GGA, Alexandria via LeMat-Bulk).

Values from the calculation:
As for the symmetry: C2/m, No. 12.

Geometry as CIF:
```
data_Na2In3Ga2
_symmetry_space_group_name_H-M 'P 1'
_symmetry_Int_Tables_number 1
_symmetry_space_group_name_Hall 'P 1'
_cell_length_a 11.069
_cell_length_b 4.586
_cell_length_c 7.145
_cell_angle_alpha 90.00
_cell_angle_beta 101.67
_cell_angle_gamma 90.00
loop_
_atom_site_label
_atom_site_fract_x
_atom_site_fract_y
_atom_site_fract_z
_atom_site_occupancy
Na1 0.127 0.000 0.345 1
Na2 0.373 0.500 0.655 1
Na3 0.627 0.500 0.345 1
Na4 0.873 0.000 0.655 1
In1 0.000 0.500 0.000 1
In2 0.197 0.000 0.852 1
In3 0.303 0.500 0.148 1
In4 0.500 0.000 0.000 1
In5 0.697 0.500 0.852 1
In6 0.803 0.000 0.148 1
Ga1 0.085 0.500 0.655 1
Ga2 0.415 0.000 0.345 1
Ga3 0.585 0.000 0.655 1
Ga4 0.915 0.500 0.345 1
```



Record 10
# NaIn2Ga

A relaxed structure of NaIn2Ga (PBE-GGA, Alexandria via LeMat-Bulk).

Values from the calculation:
As for the symmetry: P4/mmm, No. 123.

Geometry as CIF:
```
data_NaIn2Ga
_symmetry_space_group_name_H-M 'P 1'
_symmetry_Int_Tables_number 1
_symmetry_space_group_name_Hall 'P 1'
_cell_length_a 3.661
_cell_length_b 3.661
_cell_length_c 7.590
_cell_angle_alpha 90.00
_cell_angle_beta 90.00
_cell_angle_gamma 90.00
loop_
_atom_site_label
_atom_site_fract_x
_atom_site_fract_y
_atom_site_fract_z
_atom_site_occupancy
Na1 0.000 0.000 0.000 1
In1 0.500 0.500 0.285 1
In2 0.500 0.500 0.715 1
Ga1 0.000 0.000 0.500 1
```



Record 11
# Na2In2Ga

A relaxed structure of Na2In2Ga (PBE-GGA, Alexandria via LeMat-Bulk).

Values from the calculation:
As for the symmetry: Ibam, No. 72.

Geometry as CIF:
```
data_Na2In2Ga
_symmetry_space_group_name_H-M 'P 1'
_symmetry_Int_Tables_number 1
_symmetry_space_group_name_Hall 'P 1'
_cell_length_a 8.457
_cell_length_b 8.457
_cell_length_c 8.457
_cell_angle_alpha 134.47
_cell_angle_beta 61.37
_cell_angle_gamma 141.14
loop_
_atom_site_label
_atom_site_fract_x
_atom_site_fract_y
_atom_site_fract_z
_atom_site_occupancy
Na1 0.102 0.137 0.239 1
Na2 0.398 0.637 0.034 1
Na3 0.602 0.363 0.966 1
Na4 0.898 0.863 0.761 1
In1 0.176 0.639 0.815 1
In2 0.324 0.139 0.464 1
In3 0.676 0.861 0.536 1
In4 0.824 0.361 0.185 1
Ga1 0.250 0.750 0.500 1
Ga2 0.750 0.250 0.500 1
```



no.,formation energy from the elements (eV per atom),total magnetization (Bohr magnetons per cell)
1,-0.088,0.00
2,-0.057,0.00
3,-0.010,0.00
4,-0.136,0.00
5,-0.108,0.00
6,-0.094,0.00
7,-0.054,0.00
8,-0.018,0.00
9,-0.083,0.00
10,-0.053,0.00
11,-0.027,0.00